A plane-wave DFT calculation with PBEsol was carried out for a relaxed Ga3Sn crystal.

abc: 4.8611 4.8611 4.8611
angles: 60.00 60.00 60.00
Element x y z (fractional)
1 Sn 0.0000 0.0000 0.0000
2 Ga 0.2500 0.2500 0.2500
3 Ga 0.7500 0.7500 0.7500
4 Ga 0.5000 0.5000 0.5000

Results
SG ... No. 225
Raw total energy ... -0.129 Ha/atom
ΔE_f ... 47 meV/atom
Calculated volume ... 20.31 Å³ per atom
Crystal system ... cubic